Entry from Alexandria: Ho3Tl3VSe8 after structural relaxation (PBE).

As for the total moment: 3.402 μB/cell. As for the density of states at the Fermi level: 19.25 states/eV/cell. As for the total DFT energy (no corrections): -226.55 eV/cell.

The structure belongs to space group R-3m (No. 166, hexagonal axes); the cell edges are 8.0634, 8.0634 and 23.3959 Å and the angles 90.00°, 90.00° and 120.00°. The inequivalent atoms are Ho at (0.0000, 0.5000, 0.0000), Tl at (0.0000, 0.5000, 0.5000), V at (0.0000, 0.0000, 0.0000), Se at (0.0000, 0.0000, 0.2643) and Se at (0.0280, 0.5140, 0.7311).

=====

Entry from Alexandria: YHo3Tl3Se8 after structural relaxation (PBE).

As for the total moment: 0.000 μB/cell. As for the density of states at the Fermi level: 21.33 states/eV/cell. As for the total DFT energy (no corrections): -228.18 eV/cell.

The structure belongs to space group R-3m (No. 166, hexagonal axes); the cell edges are 8.3000, 8.3000 and 22.9366 Å and the angles 90.00°, 90.00° and 120.00°. The inequivalent atoms are Y at (0.0000, 0.0000, 0.0000), Ho at (0.0000, 0.5000, 0.0000), Tl at (0.0000, 0.5000, 0.5000), Se at (0.0000, 0.0000, 0.2644) and Se at (0.0021, 0.5011, 0.2647).

=====

Entry from Alexandria: HoTlZnSe3 after structural relaxation (PBE).

As for the total moment: 0.000 μB/cell. As for the density of states at the Fermi level: 0.00 states/eV/cell. As for the total DFT energy (no corrections): -50.82 eV/cell.

The structure belongs to space group P2_1/m (No. 11); the cell edges are 9.086, 4.118 and 9.761 Å and the angles 90.00°, 107.81° and 90.00°. The inequivalent atoms are Ho at (0.172, 0.250, 0.141), Tl at (0.290, 0.750, 0.778), Zn at (0.417, 0.750, 0.393), Se at (0.038, 0.250, 0.839), Se at (0.295, 0.250, 0.464) and Se at (0.390, 0.750, 0.135).

=====

Entry from Alexandria: Ho2ZrTl2Se6 after structural relaxation (PBE).

As for the total moment: 0.000 μB/cell. As for the total DFT energy (no corrections): -116.83 eV/cell.

The structure belongs to space group C2/m (No. 12); the cell edges are 7.021, 12.122 and 8.209 Å and the angles 90.00°, 106.99° and 90.00°. The inequivalent atoms are Ho at (0.000, 0.168, 0.000), Zr at (0.000, 0.500, 0.000), Tl at (0.000, 0.331, 0.500), Se at (0.229, 0.341, 0.201) and Se at (0.249, 0.000, 0.201).